Entry from Alexandria via LeMat-Bulk: a relaxed CsGa3I crystal (PBE).

extended XYZ file:
```
5
Lattice="6.501 0.000 0.000 0.000 6.501 0.000 0.000 0.000 6.501" Properties=species:S:1:pos:R:3 pbc="T T T"
Cs 0.000 0.000 0.000
I 3.251 3.251 3.251
Ga 0.000 3.251 0.000
Ga 0.000 0.000 3.251
Ga 3.251 0.000 0.000
```

ΔE_f (raw): 0.895 eV per atom
Total energy: -7.01 eV for the cell shown
Excess energy over the best structure of this formula in the dataset: 0.605 eV per atom



Entry from Alexandria via LeMat-Bulk: a relaxed LaSiAu crystal (PBE).

extended XYZ file:
```
6
Lattice="8.240 -0.002 0.003 -1.119 4.151 0.000 1.119 0.302 4.139" Properties=species:S:1:pos:R:3 pbc="T T T"
Si 3.524 4.164 1.163
Si 1.302 3.565 1.808
Au 0.691 1.174 2.147
Au 6.373 0.480 2.893
La 6.533 2.750 0.452
La 3.532 1.940 3.555
```

ΔE_f (raw): -0.818 eV per atom
Total energy: -32.16 eV for the cell shown



Entry from Alexandria via LeMat-Bulk: a relaxed Cs2BiTeBr6 crystal (PBE).

extended XYZ file:
```
10
Lattice="8.502 0.000 0.000 0.000 8.502 0.000 4.251 4.251 5.799" Properties=species:S:1:pos:R:3 pbc="T T T"
Cs 8.502 4.251 2.900
Cs 4.251 8.502 2.900
Te 4.251 4.251 0.000
Bi 0.000 0.000 0.000
Br 4.251 4.251 2.886
Br 8.502 8.502 2.913
Br 2.050 2.050 0.000
Br 6.452 6.452 0.000
Br 6.452 2.050 0.000
Br 2.050 6.452 0.000
```

ΔE_f (raw): -0.945 eV per atom
Total energy: -28.21 eV for the cell shown



Entry from Alexandria via LeMat-Bulk: a relaxed Pu4Ge12Ir crystal (PBE).

extended XYZ file:
```
17
Lattice="-2.769 -5.538 4.256 -1.544 -1.380 -7.222 7.444 0.397 0.938" Properties=species:S:1:pos:R:3 pbc="T T T"
Pu 3.722 0.198 0.469
Pu -1.384 -2.769 2.128
Pu 1.566 -3.261 -1.014
Pu -0.772 -0.690 -3.611
Ge 1.735 -0.289 -1.848
Ge 4.165 -0.694 -4.436
Ge -3.045 -4.884 -2.094
Ge -1.268 -2.035 -0.872
Ge 1.375 -1.512 1.527
Ge 3.300 -3.629 3.667
Ge 3.813 -2.817 1.026
Ge -0.681 -3.705 -3.054
Ge 1.259 -4.300 1.855
Ge 1.872 -2.221 -3.884
Ge -0.988 -4.745 -0.185
Ge 4.119 -1.777 -1.844
Ir 0.000 0.000 0.000
```

Total energy: -127.55 eV for the cell shown
Calculated formation energy: -350 meV/atom